VASP calculation (PBE-GGA) on an optimized crystal structure of In2Ge2Os.

## Properties
As for the energy of formation from the pure elements: 0.321 eV per atom. Its calculated volume is 20.0 A^3/atom. As for the density of states at the Fermi level: 2.889 states/eV per cell.

Lattice parameters (Å, degrees): 6.5104 6.5104 4.7213 90.00 90.00 90.00
Space group P4/mbm (No. 127)
Asymmetric unit:
In (0.1792, 0.3208, 0.0000) (multiplicity 4)
Ge (0.1410, 0.6410, 0.5000) (multiplicity 4)
Os (0.0000, 0.0000, 0.5000) (multiplicity 2)